Compound: NiSBrN2
Source: Alexandria via LeMat-Bulk
Functional: GGA-PBE
Structure: relaxed

Results
formation energy (no corrections)	6.78	eV/f.u.
E_tot	-4.290	eV/atom
polymorph energy (0 for the lowest one)	0.0000	eV per atom
SG	P4/mmm (123)
N(E_F)	3.8	states/eV/cell

Structure (POSCAR):
```
NiSBrN2
1.0
-0.687 3.464 0.503
-2.900 -0.850 1.895
4.215 -0.093 6.410
Ni S Br N
1 1 1 2
direct
0.000 0.000 0.000
0.000 0.000 0.500
0.500 0.500 0.500
0.000 0.500 0.000
0.500 0.000 0.000
```